The following is a GGA-PBE calculation of HgGeI3 after structural relaxation, from Alexandria.

Cell lengths 11.9122, 7.6161, 7.6293 Å; angles 90.00, 141.32, 90.00 degrees
Positions (direct):
Hg: 0.6579 0.2299 0.3159
Hg: 0.3421 0.7299 0.6841
Ge: 0.9325 0.2209 0.8650
Ge: 0.0675 0.7209 0.1350
I: 0.8254 0.9673 0.9923
I: 0.1669 0.9673 0.9923
I: 0.3715 0.1686 0.7430
I: 0.8331 0.4673 0.0077
I: 0.6285 0.6686 0.2570
I: 0.1746 0.4673 0.0077

Computed properties:
density of states at the Fermi level	3.746	states/eV/cell
energy above the lowest structure with this stoichiometry	0	meV per atom
energy relative to the elements, uncorrected	-158	meV/atom


The following is a GGA-PBE calculation of TlInHg3 after structural relaxation, from Alexandria.

Cell lengths 5.6294, 5.6294, 5.6294 Å; angles 90.00, 90.00, 90.00 degrees
Positions (direct):
Tl: 0.5000 0.5000 0.5000
Hg: 0.0000 0.5000 0.0000
Hg: 0.0000 0.0000 0.5000
Hg: 0.5000 0.0000 0.0000
In: 0.0000 0.0000 0.0000

Computed properties:
density of states at the Fermi level	2.696	states/eV/cell
DFT formation energy	0.1446	eV per atom
energy above the lowest structure with this stoichiometry	146	meV per atom


The following is a GGA-PBE calculation of DySi3Rh5 after structural relaxation, from Alexandria.

Cell lengths 3.8833, 15.6053, 15.6053 Å; angles 120.00, 90.00, 90.00 degrees
Positions (direct):
Dy: 0.2500 0.1000 0.3942
Dy: 0.7500 0.3942 0.2941
Dy: 0.7500 0.7059 0.1000
Dy: 0.2500 0.2941 0.9000
Dy: 0.2500 0.6058 0.7059
Dy: 0.7500 0.9000 0.6058
Si: 0.7500 0.2397 0.5582
Si: 0.2500 0.5582 0.3185
Si: 0.2500 0.6815 0.2397
Si: 0.7500 0.3185 0.7603
Si: 0.7500 0.4418 0.6815
Si: 0.2500 0.7603 0.4418
Si: 0.2500 0.8692 0.1192
Si: 0.7500 0.1308 0.8808
Si: 0.7500 0.7499 0.8692
Si: 0.2500 0.8808 0.7499
Si: 0.2500 0.0615 0.6295
Si: 0.7500 0.6295 0.5680
Si: 0.7500 0.4320 0.0615
Si: 0.2500 0.5680 0.9385
Si: 0.2500 0.3705 0.4320
Si: 0.7500 0.9385 0.3705
Si: 0.7500 0.1192 0.2501
Si: 0.2500 0.2501 0.1308
Rh: 0.7500 0.0751 0.5364
Rh: 0.7500 0.5861 0.8470
Rh: 0.7500 0.1530 0.7391
Rh: 0.2500 0.8470 0.2609
Rh: 0.2500 0.4139 0.1530
Rh: 0.2500 0.7391 0.5861
Rh: 0.7500 0.7766 0.3475
Rh: 0.2500 0.3475 0.5709
Rh: 0.2500 0.4291 0.7766
Rh: 0.7500 0.5709 0.2234
Rh: 0.7500 0.6525 0.4291
Rh: 0.2500 0.2234 0.6525
Rh: 0.7500 0.9721 0.8607
Rh: 0.2500 0.8607 0.8887
Rh: 0.2500 0.1113 0.9721
Rh: 0.7500 0.8887 0.0279
Rh: 0.7500 0.1393 0.1113
Rh: 0.2500 0.0279 0.1393
Rh: 0.2500 0.5387 0.0751
Rh: 0.7500 0.4613 0.9249
Rh: 0.7500 0.4636 0.5387
Rh: 0.2500 0.9249 0.4636
Rh: 0.2500 0.2264 0.2704
Rh: 0.7500 0.2704 0.0440
Rh: 0.7500 0.9560 0.2264
Rh: 0.2500 0.0440 0.7736
Rh: 0.2500 0.7296 0.9560
Rh: 0.7500 0.7736 0.7296
Rh: 0.7500 0.2609 0.4139
Rh: 0.2500 0.5364 0.4613

Computed properties:
density of states at the Fermi level	26.090	states/eV/cell
energy above the lowest structure with this stoichiometry	0	meV per atom
energy relative to the elements, uncorrected	-979	meV/atom


The following is a GGA-PBE calculation of Pd3ClO after structural relaxation, from Alexandria.

Cell lengths 4.2959, 4.2959, 4.2959 Å; angles 90.00, 90.00, 90.00 degrees
Positions (direct):
O: 0.0000 0.0000 0.0000
Pd: 0.0000 0.5000 0.0000
Pd: 0.0000 0.0000 0.5000
Pd: 0.5000 0.0000 0.0000
Cl: 0.5000 0.5000 0.5000

Computed properties:
density of states at the Fermi level	3.312	states/eV/cell
energy above the lowest structure with this stoichiometry	0	meV per atom
energy relative to the elements, uncorrected	196	meV/atom


The following is a GGA-PBE calculation of CdRuAu2 after structural relaxation, from Alexandria.

Cell lengths 4.9881, 4.9881, 5.1358 Å; angles 80.88, 80.88, 34.01 degrees
Positions (direct):
Au: 0.9938 0.9938 0.0100
Au: 0.5062 0.5062 0.4900
Cd: 0.7500 0.7500 0.7500
Ru: 0.2500 0.2500 0.2500

Computed properties:
density of states at the Fermi level	3.300	states/eV/cell
DFT formation energy	0.2506	eV per atom


The following is a GGA-PBE calculation of Nd2Al3Sn after structural relaxation, from Alexandria.

Cell lengths 4.2572, 4.4794, 7.7734 Å; angles 90.00, 90.00, 90.00 degrees
Positions (direct):
Nd: 0.0000 0.5000 0.9963
Nd: 0.0000 0.0000 0.5049
Al: 0.5000 0.0000 0.8298
Al: 0.5000 0.0000 0.1544
Al: 0.5000 0.5000 0.6780
Sn: 0.5000 0.5000 0.3366

Computed properties:
density of states at the Fermi level	2.337	states/eV/cell
DFT formation energy	-0.5241	eV per atom


Magnetic moment values, unit μB per formula unit, following the record order: 0.00, 0.00, 0.00, 0.00, 1.31, 0.00.